SrLi4PdPb2, relaxed, DFT PBE-GGA; energy relative to the elements = -0.316 eV per atom
1.0
2.345 1.354 9.197
-2.345 1.354 9.197
0.000 -2.708 9.197
Sr Li Pd Pb
1 4 1 2
Cartesian
0.000 0.000 0.000
0.000 0.000 3.778
0.000 0.000 11.327
0.000 0.000 16.266
0.000 0.000 23.814
0.000 0.000 13.796
0.000 0.000 6.616
0.000 0.000 20.977